Density functional theory data (GGA-PBE) for PmBe2 after structural relaxation.

Calculated values
Energy above the lowest structure with this stoichiometry (meV/atom): 0

a b c (Å): 5.1290 5.1290 5.1290
angles (deg): 60.00 60.00 60.00
Last column: nearest neighbours and their distance in Å.
Sites, in units of the cell vectors:
Be1 0.6250 0.6250 0.6250  6 Be 2.56
Be2 0.1250 0.6250 0.6250  6 Be 2.56
Be3 0.6250 0.6250 0.1250  6 Be 2.56
Pm1 0.2500 0.2500 0.2500  12 Be 3.01, 4 Pm 3.14
Pm2 0.0000 0.0000 0.0000  12 Be 3.01, 4 Pm 3.14
Be4 0.6250 0.1250 0.6250  6 Be 2.56

=====

Density functional theory data (GGA-PBE) for SrTbSc after structural relaxation.

Calculated values
Electronic total energy (eV per atom): -3.409

a b c (Å): 5.5612 5.5612 5.5612
angles (deg): 60.00 60.00 60.00
Last column: nearest neighbours and their distance in Å.
Sites, in units of the cell vectors:
Tb1 0.7500 0.7500 0.7500  4 Sc 3.41
Sr1 0.2500 0.2500 0.2500  4 Sc 3.41
Sc1 0.0000 0.0000 0.0000  4 Sr 3.41, 4 Tb 3.41

=====

Density functional theory data (GGA-PBE) for PmYI2O2 after structural relaxation.

Calculated values
Electronic total energy (eV per atom): -6.723

a b c (Å): 3.9999 3.9999 9.2902
angles (deg): 90.00 90.00 90.00
Last column: nearest neighbours and their distance in Å.
Sites, in units of the cell vectors:
O1 0.5000 0.0000 0.0041  2 Y 2.27, 2 Pm 2.32
Pm1 0.0000 0.0000 0.8771  4 O 2.32
I1 0.0000 0.0000 0.3234  4 Y 3.40, 4 O 3.58
O2 0.0000 0.5000 0.0041  2 Y 2.27, 2 Pm 2.32
Y1 0.5000 0.5000 0.1194  4 O 2.27
I2 0.5000 0.5000 0.6720  4 Pm 3.41, 4 O 3.68